1.
{"formula": "KUTiO6", "functional": "GGA-PBE", "state": "optimized geometry", "formation_energy_uncorrected_ev_per_atom": -2.628, "sg": "No. 149", "magmom_total_mub_per_cell": 1.024, "n_ef_per_ev_atom": 0.680, "lattice": [[5.482, 0.000, 0.000], [-2.741, 4.747, 0.000], [0.000, 0.000, 5.901]], "species": ["K", "U", "Ti", "O", "O", "O", "O", "O", "O"], "fractional_positions": [[0.000, 0.000, 0.000], [0.667, 0.333, 0.500], [0.333, 0.667, 0.500], [0.011, 0.390, 0.684], [0.011, 0.621, 0.316], [0.379, 0.390, 0.316], [0.379, 0.989, 0.684], [0.610, 0.621, 0.684], [0.610, 0.989, 0.316]]}

2.
{"formula": "K4UTi3O12", "functional": "GGA-PBE", "state": "optimized geometry", "formation_energy_uncorrected_ev_per_atom": -2.471, "sg": "No. 229", "magmom_total_mub_per_cell": 2.087, "n_ef_per_ev_atom": 0.332, "lattice": [[-4.042, 4.042, 4.042], [4.042, -4.042, 4.042], [4.042, 4.042, -4.042]], "species": ["K", "K", "K", "K", "U", "Ti", "Ti", "Ti", "O", "O", "O", "O", "O", "O", "O", "O", "O", "O", "O", "O"], "fractional_positions": [[0.000, 0.000, 0.500], [0.000, 0.500, 0.000], [0.500, 0.000, 0.000], [0.500, 0.500, 0.500], [0.000, 0.000, 0.000], [0.000, 0.500, 0.500], [0.500, 0.000, 0.500], [0.500, 0.500, 0.000], [0.000, 0.256, 0.256], [0.000, 0.744, 0.744], [0.250, 0.500, 0.750], [0.250, 0.750, 0.500], [0.256, 0.000, 0.256], [0.256, 0.256, 0.000], [0.500, 0.250, 0.750], [0.500, 0.750, 0.250], [0.744, 0.000, 0.744], [0.744, 0.744, 0.000], [0.750, 0.250, 0.500], [0.750, 0.500, 0.250]]}